# 1
Entry from the Alexandria database: a geometry-optimized TcW2Cl structure (GGA-PBE).

```
TcW2Cl
1.0
6.8139 0.0000 0.0000
0.0000 6.8139 0.0000
0.0000 0.0000 5.6742
Tc W Cl
4 8 4
Direct
0.0000 0.0000 0.0000
0.0000 0.5000 0.2500
0.5000 0.0000 0.7500
0.5000 0.5000 0.5000
0.2327 0.2500 0.6250
0.2500 0.7327 0.8750
0.2500 0.7673 0.3750
0.2673 0.2500 0.1250
0.7327 0.7500 0.1250
0.7500 0.2327 0.3750
0.7500 0.2673 0.8750
0.7673 0.7500 0.6250
0.0000 0.0000 0.5000
0.0000 0.5000 0.7500
0.5000 0.0000 0.2500
0.5000 0.5000 0.0000
```

Calculated values
Formation energy from raw total energies = 1.22 eV/atom
Space-group type = No. 122
V = 263 Å³ per cell
Excess energy over the best structure of this formula in the dataset = 0.853 eV/atom
Magnetization = 0.000 μB/atom

---

# 2
Entry from the Alexandria database: a geometry-optimized Tl3Zn structure (GGA-PBE).

```
Tl3Zn
1.0
6.1120 0.0000 0.0000
0.0000 6.1120 0.0000
0.0000 0.0000 6.1120
Tl Zn
6 2
Direct
0.0000 0.2500 0.5000
0.0000 0.7500 0.5000
0.2500 0.5000 0.0000
0.5000 0.0000 0.2500
0.5000 0.0000 0.7500
0.7500 0.5000 0.0000
0.0000 0.0000 0.0000
0.5000 0.5000 0.5000
```

Calculated values
Space-group type = No. 223
V = 228 Å³ per cell
Magnetization = 0.000 μB/atom
DFT total energy = -1.944 eV/atom

---

# 3
Entry from the Alexandria database: a geometry-optimized PrGd4Y structure (GGA-PBE).

```
PrGd4Y
1.0
0.0000 4.6904 4.6904
4.6904 0.0000 4.6904
4.6904 4.6904 0.0000
Pr Gd Y
1 4 1
Direct
0.0000 0.0000 0.0000
0.1260 0.6247 0.6247
0.6247 0.1260 0.6247
0.6247 0.6247 0.1260
0.6247 0.6247 0.6247
0.2500 0.2500 0.2500
```

Calculated values
Space-group type = No. 216
V = 206 Å³ per cell
Magnetization = 4.758 μB/atom
DFT total energy = -11.022 eV/atom

---

# 4
Entry from the Alexandria database: a geometry-optimized MnCrCuTeAu structure (GGA-PBE).

```
MnCrCuTeAu
1.0
8.1341 0.0000 0.0000
0.0000 3.2162 0.0000
-2.3970 0.0000 6.9095
Mn Cr Cu Te Au
2 2 2 2 2
Direct
0.0000 0.0000 0.0000
0.5000 0.5000 0.0000
0.2552 0.0000 0.8838
0.7552 0.5000 0.8838
0.4836 0.0000 0.7070
0.9836 0.5000 0.7070
0.2743 0.5000 0.2076
0.7743 0.0000 0.2076
0.1301 0.0000 0.5063
0.6301 0.5000 0.5063
```

Calculated values
Formation energy from raw total energies = 0.24 eV/atom
Space-group type = No. 8
V = 181 Å³ per cell
Excess energy over the best structure of this formula in the dataset = 0.116 eV/atom
Magnetization = 0.027 μB/atom

---

# 5
Entry from the Alexandria database: a geometry-optimized K3Na structure (GGA-PBE).

```
K3Na
1.0
8.9214 0.0000 0.0000
-4.4607 7.7262 0.0000
0.0000 0.0000 7.1893
K Na
6 2
Direct
0.1714 0.3429 0.2500
0.1714 0.8286 0.2500
0.3429 0.1714 0.7500
0.6571 0.8286 0.2500
0.8286 0.1714 0.7500
0.8286 0.6571 0.7500
0.3333 0.6667 0.7500
0.6667 0.3333 0.2500
```

Calculated values
Space-group type = No. 194
V = 496 Å³ per cell
Magnetization = 0.000 μB/atom
DFT total energy = -1.136 eV/atom

---

# 6
Entry from the Alexandria database: a geometry-optimized HgTeWBr2 structure (GGA-PBE).

```
HgTeWBr2
1.0
5.2424 0.0000 0.0000
0.0000 5.2424 0.0000
0.0000 0.0000 6.0434
Hg Te W Br
1 1 1 2
Direct
0.0000 0.0000 0.0000
0.0000 0.0000 0.5000
0.5000 0.5000 0.5000
0.0000 0.5000 0.0000
0.5000 0.0000 0.0000
```

Calculated values
Formation energy from raw total energies = 1.27 eV/atom
Space-group type = No. 123
V = 166 Å³ per cell
Magnetization = 0.837 μB/atom

---

# 7
Entry from the Alexandria database: a geometry-optimized PmThTe2Se structure (GGA-PBE).

```
PmThTe2Se
1.0
4.3845 0.0000 0.0000
0.0000 4.3845 0.0000
0.0000 0.0000 15.6181
Pm Th Te Se
2 2 4 2
Direct
0.2500 0.2500 0.1309
0.7500 0.7500 0.8691
0.2500 0.2500 0.5845
0.7500 0.7500 0.4155
0.2500 0.2500 0.3738
0.2500 0.2500 0.7914
0.7500 0.7500 0.2086
0.7500 0.7500 0.6262
0.2500 0.7500 0.0000
0.7500 0.2500 0.0000
```

Calculated values
Formation energy from raw total energies = -1.31 eV/atom
Space-group type = No. 129
V = 300 Å³ per cell
Magnetization = 0.000 μB/atom

---

# 8
Entry from the Alexandria database: a geometry-optimized NaNd6Cd5 structure (GGA-PBE).

```
NaNd6Cd5
1.0
-2.7418 3.8851 8.2220
2.7418 -3.8851 8.2220
2.7418 3.8851 -8.2220
Na Nd Cd
1 6 5
Direct
0.0000 0.0000 0.0000
0.0850 0.8296 0.2553
0.2615 0.5000 0.7615
0.4257 0.1704 0.2553
0.5743 0.8296 0.7447
0.7385 0.5000 0.2385
0.9150 0.1704 0.7447
0.1601 0.6601 0.5000
0.3327 0.3327 0.0000
0.5000 0.0000 0.5000
0.6673 0.6673 0.0000
0.8399 0.3399 0.5000
```

Calculated values
Space-group type = No. 71
V = 350 Å³ per cell
Magnetization = 0.032 μB/atom
DFT total energy = -3.098 eV/atom

---

# 9
Entry from the Alexandria database: a geometry-optimized Tl2GaTcNi structure (GGA-PBE).

```
Tl2GaTcNi
1.0
5.3580 0.0000 0.0000
0.0000 5.3580 0.0000
0.0000 0.0000 4.5241
Tl Ga Tc Ni
2 1 1 1
Direct
0.0000 0.5000 0.0000
0.5000 0.0000 0.0000
0.0000 0.0000 0.5000
0.5000 0.5000 0.0000
0.5000 0.5000 0.5000
```

Calculated values
Space-group type = No. 123
V = 130 Å³ per cell
Magnetization = 0.000 μB/atom
DFT total energy = -3.990 eV/atom

---

# 10
Entry from the Alexandria database: a geometry-optimized Y2TmSc3S6 structure (GGA-PBE).

```
Y2TmSc3S6
1.0
8.2577 -1.8943 0.0000
8.2577 1.8943 0.0000
-1.7440 0.0000 7.4083
Y Tm Sc S
2 1 3 6
Direct
0.1673 0.1673 0.3345
0.8327 0.8327 0.6655
0.5000 0.5000 0.0000
0.1679 0.1679 0.8326
0.5000 0.5000 0.5000
0.8321 0.8321 0.1674
0.0040 0.0040 0.7460
0.3317 0.3317 0.9275
0.3376 0.3376 0.4072
0.6624 0.6624 0.5928
0.6683 0.6683 0.0725
0.9960 0.9960 0.2540
```

Calculated values
Formation energy from raw total energies = -1.91 eV/atom
Space-group type = No. 12
V = 232 Å³ per cell
Magnetization = 0.000 μB/atom

---

# 11
Entry from the Alexandria database: a geometry-optimized Tb7Er3Sc2 structure (GGA-PBE).

```
Tb7Er3Sc2
1.0
5.7173 0.0000 0.0000
0.0000 3.5180 0.0000
-1.1812 0.0000 18.2626
Tb Er Sc
7 3 2
Direct
0.0000 0.0000 0.0000
0.1864 0.5000 0.1848
0.2579 0.5000 0.5378
0.3161 0.0000 0.8524
0.6839 0.0000 0.1476
0.7421 0.5000 0.4622
0.8136 0.5000 0.8152
0.2213 0.0000 0.3663
0.5000 0.5000 0.0000
0.7787 0.0000 0.6337
0.2894 0.5000 0.7034
0.7106 0.5000 0.2966
```

Calculated values
Space-group type = No. 10
V = 367 Å³ per cell
Excess energy over the best structure of this formula in the dataset = 0.000 eV/atom
Magnetization = 0.000 μB/atom

---

# 12
Entry from the Alexandria database: a geometry-optimized ThPa2VC4 structure (GGA-PBE).

```
ThPa2VC4
1.0
1.7637 -5.9612 0.0000
1.7637 5.9612 0.0000
0.0000 0.0000 12.1845
Th Pa V C
2 4 2 8
Direct
0.0983 0.9017 0.7500
0.9017 0.0983 0.2500
0.3680 0.6320 0.5471
0.3680 0.6320 0.9529
0.6320 0.3680 0.0471
0.6320 0.3680 0.4529
0.1663 0.8337 0.2500
0.8337 0.1663 0.7500
0.0000 0.0000 0.0000
0.0000 0.0000 0.5000
0.2657 0.7343 0.1277
0.2657 0.7343 0.3723
0.4265 0.5735 0.7500
0.5735 0.4265 0.2500
0.7343 0.2657 0.6277
0.7343 0.2657 0.8723
```

Calculated values
Space-group type = No. 63
V = 256 Å³ per cell
Magnetization = 0.000 μB/atom
DFT total energy = -9.310 eV/atom

---

# 13
Entry from the Alexandria database: a geometry-optimized Dy6HgPd2 structure (GGA-PBE).

```
Dy6HgPd2
1.0
-4.7190 4.8865 5.1652
4.7190 -4.8865 5.1652
4.7190 4.8865 -5.1652
Dy Hg Pd
12 2 4
Direct
0.0434 0.2386 0.8047
0.1814 0.2874 0.4689
0.1814 0.7126 0.8940
0.3283 0.0289 0.7005
0.3283 0.6278 0.2995
0.4339 0.2386 0.1953
0.5661 0.7614 0.8047
0.6717 0.3722 0.7005
0.6717 0.9711 0.2995
0.8186 0.2874 0.1060
0.8186 0.7126 0.5311
0.9566 0.7614 0.1953
0.0000 0.0000 0.0000
0.5000 0.5000 0.0000
0.1334 0.6334 0.5000
0.3460 0.0000 0.3460
0.6540 0.0000 0.6540
0.8666 0.3666 0.5000
```

Calculated values
Space-group type = No. 71
V = 476 Å³ per cell
Magnetization = 0.000 μB/atom
DFT total energy = -4.783 eV/atom

---

# 14
Entry from the Alexandria database: a geometry-optimized TiZn2 structure (GGA-PBE).

```
TiZn2
1.0
2.8595 0.0000 0.0000
0.0000 2.8595 0.0000
0.0000 0.0000 11.1266
Ti Zn
2 4
Direct
0.0000 0.0000 0.0000
0.5000 0.5000 0.5000
0.0000 0.0000 0.3283
0.0000 0.0000 0.6717
0.5000 0.5000 0.1717
0.5000 0.5000 0.8283
```

Calculated values
Space-group type = No. 139
V = 91 Å³ per cell
Magnetization = 0.150 μB/atom
DFT total energy = -3.657 eV/atom

---

# 15
Entry from the Alexandria database: a geometry-optimized LiPr3B2O8 structure (GGA-PBE).

```
LiPr3B2O8
1.0
5.1858 0.0000 0.0000
-2.5929 4.4910 0.0000
0.0000 0.0000 6.5792
Li Pr B O
1 3 2 8
Direct
0.0000 0.0000 0.0000
0.0000 0.0000 0.5000
0.3333 0.6667 0.1537
0.6667 0.3333 0.8463
0.3333 0.6667 0.7160
0.6667 0.3333 0.2840
0.1788 0.3576 0.8034
0.1788 0.8212 0.8034
0.3333 0.6667 0.4955
0.3576 0.1788 0.1966
0.6424 0.8212 0.8034
0.6667 0.3333 0.5045
0.8212 0.1788 0.1966
0.8212 0.6424 0.1966
```

Calculated values
Formation energy from raw total energies = -2.94 eV/atom
Space-group type = No. 164
V = 153 Å³ per cell
Magnetization = 0.000 μB/atom

---

# 16
Entry from the Alexandria database: a geometry-optimized FeSe structure (GGA-PBE).

```
FeSe
1.0
7.0165 0.0000 0.0000
0.0000 7.0165 0.0000
0.0000 0.0000 7.0165
Fe Se
8 8
Direct
0.1282 0.1282 0.1282
0.1282 0.8718 0.8718
0.3718 0.3718 0.6282
0.3718 0.6282 0.3718
0.6282 0.3718 0.3718
0.6282 0.6282 0.6282
0.8718 0.1282 0.8718
0.8718 0.8718 0.1282
0.1881 0.1881 0.8119
0.1881 0.8119 0.1881
0.3119 0.3119 0.3119
0.3119 0.6881 0.6881
0.6881 0.3119 0.6881
0.6881 0.6881 0.3119
0.8119 0.1881 0.1881
0.8119 0.8119 0.8119
```

Calculated values
Formation energy from raw total energies = -0.09 eV/atom
Space-group type = No. 217
V = 345 Å³ per cell
Magnetization = 0.000 μB/atom

---

# 17
Entry from the Alexandria database: a geometry-optimized Be2ZnIr2 structure (GGA-PBE).

```
Be2ZnIr2
1.0
6.3090 0.0000 0.0000
0.0000 6.3090 0.0000
0.0000 0.0000 2.9100
Be Zn Ir
4 2 4
Direct
0.1268 0.3732 0.0000
0.3732 0.8732 0.0000
0.6268 0.1268 0.0000
0.8732 0.6268 0.0000
0.0000 0.0000 0.0000
0.5000 0.5000 0.0000
0.1648 0.6648 0.5000
0.3352 0.1648 0.5000
0.6648 0.8352 0.5000
0.8352 0.3352 0.5000
```

Calculated values
Space-group type = No. 127
V = 116 Å³ per cell
Excess energy over the best structure of this formula in the dataset = 0.000 eV/atom
Magnetization = 0.000 μB/atom

---

# 18
Entry from the Alexandria database: a geometry-optimized PmMgSnPt structure (GGA-PBE).

```
PmMgSnPt
1.0
7.1045 0.0000 0.0000
0.0000 7.1045 0.0000
0.0000 0.0000 7.1045
Pm Mg Sn Pt
4 4 4 4
Direct
0.0000 0.0000 0.0000
0.0000 0.5000 0.5000
0.5000 0.0000 0.5000
0.5000 0.5000 0.0000
0.0000 0.0000 0.5000
0.0000 0.5000 0.0000
0.5000 0.0000 0.0000
0.5000 0.5000 0.5000
0.2500 0.2500 0.2500
0.2500 0.7500 0.7500
0.7500 0.2500 0.7500
0.7500 0.7500 0.2500
0.2500 0.2500 0.7500
0.2500 0.7500 0.2500
0.7500 0.2500 0.2500
0.7500 0.7500 0.7500
```

Calculated values
Space-group type = No. 216
V = 359 Å³ per cell
Magnetization = 0.000 μB/atom
DFT total energy = -4.758 eV/atom

---

# 19
Entry from the Alexandria database: a geometry-optimized Mg4Sb2O9 structure (GGA-PBE).

```
Mg4Sb2O9
1.0
5.2349 0.0000 0.0000
-2.6175 4.5336 0.0000
0.0000 0.0000 14.1215
Mg Sb O
8 4 18
Direct
0.3333 0.6667 0.1871
0.3333 0.6667 0.4819
0.3333 0.6667 0.6871
0.3333 0.6667 0.9819
0.6667 0.3333 0.0181
0.6667 0.3333 0.3129
0.6667 0.3333 0.5181
0.6667 0.3333 0.8129
0.0000 0.0000 0.1442
0.0000 0.0000 0.3558
0.0000 0.0000 0.6442
0.0000 0.0000 0.8558
0.0000 0.2864 0.2500
0.0000 0.7136 0.7500
0.0294 0.3537 0.5857
0.0294 0.6757 0.0857
0.2864 0.0000 0.2500
0.2864 0.2864 0.7500
0.3243 0.3537 0.0857
0.3243 0.9706 0.5857
0.3537 0.0294 0.9143
0.3537 0.3243 0.4143
0.6463 0.6757 0.5857
0.6463 0.9706 0.0857
0.6757 0.0294 0.4143
0.6757 0.6463 0.9143
0.7136 0.0000 0.7500
0.7136 0.7136 0.2500
0.9706 0.3243 0.9143
0.9706 0.6463 0.4143
```

Calculated values
Formation energy from raw total energies = -2.16 eV/atom
Space-group type = No. 165
V = 335 Å³ per cell
Excess energy over the best structure of this formula in the dataset = 0.000 eV/atom
Magnetization = 0.000 μB/atom

---

# 20
Entry from the Alexandria database: a geometry-optimized BeFeBOs2 structure (GGA-PBE).

```
BeFeBOs2
1.0
4.2043 0.0000 0.0000
0.0000 4.2043 0.0000
0.0000 0.0000 3.3091
Be Fe B Os
1 1 1 2
Direct
0.0000 0.0000 0.0000
0.5000 0.5000 0.5000
0.0000 0.0000 0.5000
0.0000 0.5000 0.0000
0.5000 0.0000 0.0000
```

Calculated values
Space-group type = No. 123
V = 58 Å³ per cell
Magnetization = 0.661 μB/atom
DFT total energy = -7.328 eV/atom

---

# 21
Entry from the Alexandria database: a geometry-optimized AcSi2 structure (GGA-PBE).

```
AcSi2
1.0
6.3262 0.0000 0.0000
0.0000 6.4180 0.0000
-1.3742 0.0000 3.8718
Ac Si
2 4
Direct
0.0000 0.0000 0.0000
0.5000 0.5000 0.0000
0.0980 0.5000 0.2959
0.4020 0.0000 0.7041
0.5980 0.0000 0.2959
0.9020 0.5000 0.7041
```

Calculated values
Formation energy from raw total energies = -0.34 eV/atom
Space-group type = No. 12
V = 157 Å³ per cell
Excess energy over the best structure of this formula in the dataset = 0.194 eV/atom
Magnetization = 0.000 μB/atom

---

# 22
Entry from the Alexandria database: a geometry-optimized KU2CuS4 structure (GGA-PBE).

```
KU2CuS4
1.0
1.9531 -6.7932 0.0000
1.9531 6.7932 0.0000
0.0000 0.0000 13.7356
K U Cu S
2 4 2 8
Direct
0.1054 0.8946 0.7500
0.8946 0.1054 0.2500
0.3672 0.6328 0.5589
0.3672 0.6328 0.9411
0.6328 0.3672 0.0589
0.6328 0.3672 0.4411
0.1667 0.8333 0.2500
0.8333 0.1667 0.7500
0.0000 0.0000 0.0000
0.0000 0.0000 0.5000
0.2654 0.7346 0.1123
0.2654 0.7346 0.3877
0.4265 0.5735 0.7500
0.5735 0.4265 0.2500
0.7346 0.2654 0.6123
0.7346 0.2654 0.8877
```

Calculated values
Formation energy from raw total energies = -1.21 eV/atom
Space-group type = No. 63
V = 364 Å³ per cell
Magnetization = 0.692 μB/atom